1.
Entry from Alexandria: an optimized crystal structure of Li2MgMn (PBE-GGA).

a b c (Å): 2.8609 2.8609 9.4516
angles (deg): 90.00 90.00 108.60
Fractional positions:
Li 0.0000 0.0000 0.9860
Li 0.5000 0.5000 0.2479
Mg 0.0000 0.0000 0.5121
Mn 0.5000 0.5000 0.7539

Results
**V**: 73 Å³ per cell
**Formation enthalpy at 0 K**: 0.87 eV per formula unit



2.
Entry from Alexandria: an optimized crystal structure of LiMg2Mn (PBE-GGA).

a b c (Å): 5.2730 5.2730 5.0420
angles (deg): 77.39 77.39 33.52
Fractional positions:
Mg 0.9955 0.9955 0.0242
Mg 0.7588 0.7588 0.7174
Li 0.2415 0.2415 0.2415
Mn 0.5042 0.5042 0.5169

Results
**V**: 75 Å³ per cell
**Formation enthalpy at 0 K**: 0.75 eV per formula unit



Repeat the first record exactly.
Entry from Alexandria: an optimized crystal structure of Li2MgMn (PBE-GGA).

a b c (Å): 2.8609 2.8609 9.4516
angles (deg): 90.00 90.00 108.60
Fractional positions:
Li 0.0000 0.0000 0.9860
Li 0.5000 0.5000 0.2479
Mg 0.0000 0.0000 0.5121
Mn 0.5000 0.5000 0.7539

Results
**V**: 73 Å³ per cell
**Formation enthalpy at 0 K**: 0.87 eV per formula unit